Density functional theory data (GGA-PBE) for crystalline Ba3PtAu at its relaxed geometry.

Cell and atoms, written as POSCAR:
```
Ba3PtAu
1.0
4.5384 0.0000 0.0000
0.0009 9.7092 0.0000
0.0011 3.2144 9.1817
Ba Pt Au
6 2 2
Direct
0.0000 0.0000 0.0000
0.9998 0.1186 0.3861
0.0013 0.3654 0.6345
0.0012 0.7529 0.7514
0.5007 0.4058 0.0394
0.5006 0.7125 0.3470
0.4999 0.0592 0.1931
0.5012 0.5591 0.6932
0.0006 0.5578 0.1945
0.5006 0.0591 0.6931
```

Energy above the most stable polymorph in this dataset: 0.000 eV per atom
Space-group type: P1, No. 1
Theoretical density: 6.6 g/cm3
Formation energy: -0.607 eV per atom
D(E_F): 2.9 states/eV/f.u.

---

Density functional theory data (GGA-PBE) for crystalline AlSi4Ni2 at its relaxed geometry.

Cell and atoms, written as POSCAR:
```
AlSi4Ni2
1.0
3.8175 0.0000 0.0000
-1.9088 3.3061 0.0000
0.0000 0.0000 18.9103
Al Si Ni
2 8 4
Direct
0.0000 0.0000 0.0000
0.0000 0.0000 0.5000
0.0000 0.0000 0.1468
0.0000 0.0000 0.3704
0.0000 0.0000 0.6468
0.0000 0.0000 0.8704
0.3333 0.6667 0.0653
0.3333 0.6667 0.3021
0.6667 0.3333 0.5653
0.6667 0.3333 0.8021
0.3333 0.6667 0.1831
0.3333 0.6667 0.8343
0.6667 0.3333 0.3343
0.6667 0.3333 0.6831
```

Energy above the most stable polymorph in this dataset: 0.174 eV per atom
Space-group type: P6_3mc, No. 186
Theoretical density: 3.6 g/cm3
D(E_F): 2.3 states/eV/f.u.
E_form (uncorrected): -0.023 eV/atom

---

Density functional theory data (GGA-PBE) for crystalline CaCu6Pd4 at its relaxed geometry.

Cell and atoms, written as POSCAR:
```
CaCu6Pd4
1.0
-3.0440 3.0440 4.7940
3.0440 -3.0440 4.7940
3.0440 3.0440 -4.7940
Ca Cu Pd
1 6 4
Direct
0.0000 0.0000 0.0000
0.0000 0.5000 0.5000
0.2643 0.2643 0.6918
0.4274 0.7357 0.0000
0.5000 0.0000 0.5000
0.5726 0.5726 0.3082
0.7357 0.4274 0.0000
0.0871 0.5400 0.0000
0.4600 0.4600 0.5471
0.5400 0.0871 0.0000
0.9129 0.9129 0.4529
```

Space-group type: I-42m, No. 121
Theoretical density: 7.9 g/cm3
Formation energy: 0.001 eV per atom
D(E_F): 4.1 states/eV/f.u.

---

Density functional theory data (GGA-PBE) for crystalline LuAlPtRh at its relaxed geometry.

Cell and atoms, written as POSCAR:
```
LuAlPtRh
1.0
0.0000 3.2261 3.2261
3.2261 0.0000 3.2261
3.2261 3.2261 0.0000
Lu Al Pt Rh
1 1 1 1
Direct
0.0000 0.0000 0.0000
0.5000 0.5000 0.5000
0.2500 0.2500 0.2500
0.7500 0.7500 0.7500
```

Space-group type: F-43m, No. 216
Theoretical density: 12.4 g/cm3
Formation energy: -1.037 eV per atom
D(E_F): 1.7 states/eV/f.u.

---

Density functional theory data (GGA-PBE) for crystalline LaCuF at its relaxed geometry.

Cell and atoms, written as POSCAR:
```
LaCuF
1.0
3.7412 -2.0437 0.0000
3.7412 2.0437 0.0000
-3.0521 0.0000 7.6351
La Cu F
2 2 2
Direct
0.0661 0.0661 0.2605
0.9339 0.9339 0.7395
0.3423 0.3423 0.0101
0.6577 0.6577 0.9899
0.1990 0.1990 0.5899
0.8010 0.8010 0.4101
```

Space-group type: C2/m, No. 12
Theoretical density: 6.3 g/cm3
D(E_F): 1.1 states/eV/f.u.
E_form (uncorrected): -1.856 eV/atom

---

Density functional theory data (GGA-PBE) for crystalline CaHf2Be at its relaxed geometry.

Cell and atoms, written as POSCAR:
```
CaHf2Be
1.0
-2.6026 2.6026 8.7794
2.6026 -2.6026 8.7794
2.6026 2.6026 -8.7794
Ca Hf Be
2 4 2
Direct
0.0000 0.0000 0.0000
0.7500 0.2500 0.5000
0.3523 0.6250 0.2273
0.3750 0.6023 0.7273
0.3977 0.1250 0.7727
0.8750 0.6477 0.2727
0.2500 0.7500 0.5000
0.5000 0.5000 0.0000
```

Space-group type: I-42d, No. 122
Theoretical density: 5.7 g/cm3
Formation energy: 1.152 eV per atom
D(E_F): 5.2 states/eV/f.u.

---

Density functional theory data (GGA-PBE) for crystalline Rb2ZrAu at its relaxed geometry.

Cell and atoms, written as POSCAR:
```
Rb2ZrAu
1.0
0.0000 4.3474 4.3474
4.3474 0.0000 4.3474
4.3474 4.3474 0.0000
Rb Zr Au
2 1 1
Direct
0.2500 0.2500 0.2500
0.7500 0.7500 0.7500
0.0000 0.0000 0.0000
0.5000 0.5000 0.5000
```

Energy above the most stable polymorph in this dataset: 0.377 eV per atom
Space-group type: Fm-3m, No. 225
Theoretical density: 4.6 g/cm3
Formation energy: 1.012 eV per atom
D(E_F): 3.8 states/eV/f.u.

---

Density functional theory data (GGA-PBE) for crystalline TbNd2Th at its relaxed geometry.

Cell and atoms, written as POSCAR:
```
TbNd2Th
1.0
3.6244 0.0000 0.0000
0.0000 3.6244 0.0000
0.0000 0.0000 10.2797
Tb Nd Th
1 2 1
Direct
0.0000 0.0000 0.0000
0.5000 0.5000 0.2570
0.5000 0.5000 0.7430
0.0000 0.0000 0.5000
```

Energy above the most stable polymorph in this dataset: 0.017 eV per atom
Space-group type: P4/mmm, No. 123
Theoretical density: 8.4 g/cm3
Formation energy: 0.046 eV per atom
D(E_F): 5.1 states/eV/f.u.

---

Density functional theory data (GGA-PBE) for crystalline Tb6Pr2Sm3Pu at its relaxed geometry.

Cell and atoms, written as POSCAR:
```
Tb6Pr2Sm3Pu
1.0
3.1138 -5.3996 0.0000
3.1138 5.3996 0.0000
-2.0870 0.0000 11.6460
Tb Pr Sm Pu
6 2 3 1
Direct
0.0827 0.4113 0.7490
0.2461 0.2461 0.2509
0.4113 0.0827 0.7490
0.5887 0.9173 0.2510
0.7539 0.7539 0.7491
0.9173 0.5887 0.2510
0.3335 0.6665 0.5000
0.6665 0.3335 0.5000
0.1667 0.8333 0.0000
0.5000 0.5000 0.0000
0.8333 0.1667 0.0000
0.0000 0.0000 0.5000
```

Space-group type: C2/m, No. 12
Theoretical density: 8.2 g/cm3
Formation energy: 0.047 eV per atom
D(E_F): 24.1 states/eV/f.u.

---

Density functional theory data (GGA-PBE) for crystalline SrTlRe2 at its relaxed geometry.

Cell and atoms, written as POSCAR:
```
SrTlRe2
1.0
2.1250 1.2268 6.6725
-2.1250 1.2268 6.6725
0.0000 -2.4537 6.6725
Sr Tl Re
1 1 2
Direct
0.0000 0.0000 0.0000
0.2116 0.2116 0.2116
0.4596 0.4596 0.4596
0.7812 0.7812 0.7812
```

Energy above the most stable polymorph in this dataset: 0.030 eV per atom
Space-group type: R3m, No. 160
Theoretical density: 10.6 g/cm3
Formation energy: 0.416 eV per atom
D(E_F): 3.7 states/eV/f.u.

---

Density functional theory data (GGA-PBE) for crystalline Ce2Nd2Y7 at its relaxed geometry.

Cell and atoms, written as POSCAR:
```
Ce2Nd2Y7
1.0
5.6145 -5.8419 0.0000
5.6145 5.8419 0.0000
-2.3317 0.0000 5.5883
Ce Nd Y
2 2 7
Direct
0.2130 0.7870 0.0000
0.7870 0.2130 0.0000
0.2286 0.2286 0.0900
0.7714 0.7714 0.9100
0.0000 0.0000 0.5000
0.0672 0.5900 0.3261
0.4087 0.4087 0.6963
0.4100 0.9328 0.6739
0.5900 0.0672 0.3261
0.5913 0.5913 0.3037
0.9328 0.4100 0.6739
```

Space-group type: C2/m, No. 12
Theoretical density: 5.4 g/cm3
Formation energy: 0.202 eV per atom
D(E_F): 25.0 states/eV/f.u.

---

Density functional theory data (GGA-PBE) for crystalline SrAs2Br at its relaxed geometry.

Cell and atoms, written as POSCAR:
```
SrAs2Br
1.0
-2.0901 2.0901 13.3758
2.0901 -2.0901 13.3758
2.0901 2.0901 -13.3758
Sr As Br
2 4 2
Direct
0.0000 0.0000 0.0000
0.7500 0.2500 0.5000
0.1936 0.6250 0.0686
0.3750 0.4436 0.5686
0.5564 0.1250 0.9314
0.8750 0.8064 0.4314
0.2500 0.7500 0.5000
0.5000 0.5000 0.0000
```

Energy above the most stable polymorph in this dataset: 0.225 eV per atom
Space-group type: I-42d, No. 122
Theoretical density: 4.5 g/cm3
D(E_F): 1.5 states/eV/f.u.
E_form (uncorrected): -0.682 eV/atom

---

Density functional theory data (GGA-PBE) for crystalline YTm2Ru3 at its relaxed geometry.

Cell and atoms, written as POSCAR:
```
YTm2Ru3
1.0
3.3801 0.0000 0.0000
0.0000 3.3801 0.0000
0.0000 0.0000 10.0705
Y Tm Ru
1 2 3
Direct
0.0000 0.0000 0.0000
0.0000 0.0000 0.3350
0.0000 0.0000 0.6650
0.5000 0.5000 0.1719
0.5000 0.5000 0.5000
0.5000 0.5000 0.8281
```

Energy above the most stable polymorph in this dataset: 0.000 eV per atom
Space-group type: P4/mmm, No. 123
Theoretical density: 10.5 g/cm3
Formation energy: -0.372 eV per atom
D(E_F): 6.2 states/eV/f.u.

---

Density functional theory data (GGA-PBE) for crystalline La4Ag2Rh at its relaxed geometry.

Cell and atoms, written as POSCAR:
```
La4Ag2Rh
1.0
-2.7421 2.7421 7.6921
2.7421 -2.7421 7.6921
2.7421 2.7421 -7.6921
La Ag Rh
4 2 1
Direct
0.0000 0.5000 0.5000
0.1901 0.1901 0.0000
0.5000 0.0000 0.5000
0.8099 0.8099 0.0000
0.3855 0.3855 0.0000
0.6145 0.6145 0.0000
0.0000 0.0000 0.0000
```

Energy above the most stable polymorph in this dataset: 0.043 eV per atom
Space-group type: I4/mmm, No. 139
Theoretical density: 6.3 g/cm3
Formation energy: -0.223 eV per atom
D(E_F): 10.4 states/eV/f.u.

---

Density functional theory data (GGA-PBE) for crystalline KAlSb at its relaxed geometry.

Cell and atoms, written as POSCAR:
```
KAlSb
1.0
4.4192 0.0000 0.0000
0.0052 5.9098 0.0000
0.0041 0.1952 8.0312
K Al Sb
2 2 2
Direct
0.0000 0.0000 0.0000
0.4988 0.0579 0.4973
0.9997 0.5893 0.3455
0.4998 0.4029 0.8279
0.5000 0.5295 0.1645
0.9995 0.5958 0.6734
```

Energy above the most stable polymorph in this dataset: 0.076 eV per atom
Space-group type: P1, No. 1
Theoretical density: 3.0 g/cm3
D(E_F): 0.7 states/eV/f.u.
E_form (uncorrected): -0.168 eV/atom

---

Density functional theory data (GGA-PBE) for crystalline PuGeHRu2 at its relaxed geometry.

Cell and atoms, written as POSCAR:
```
PuGeHRu2
1.0
1.5812 -5.9673 0.0000
1.5812 5.9673 0.0000
0.0000 0.0000 7.6440
Pu Ge H Ru
2 2 2 4
Direct
0.0218 0.9782 0.7500
0.9782 0.0218 0.2500
0.2509 0.7491 0.2500
0.7491 0.2509 0.7500
0.5000 0.5000 0.0000
0.5000 0.5000 0.5000
0.3502 0.6498 0.5447
0.3502 0.6498 0.9553
0.6498 0.3502 0.0447
0.6498 0.3502 0.4553
```

Energy: -8.405 eV/atom
Space-group type: Cmcm, No. 63
Theoretical density: 12.0 g/cm3
D(E_F): 9.8 states/eV/f.u.

---

Density functional theory data (GGA-PBE) for crystalline DyHgN at its relaxed geometry.

Cell and atoms, written as POSCAR:
```
DyHgN
1.0
5.1142 -3.8153 0.0000
5.1142 3.8153 0.0000
0.0000 0.0000 7.4901
Dy Hg N
4 4 4
Direct
0.1468 0.8532 0.8460
0.3532 0.6468 0.3460
0.6468 0.3532 0.6540
0.8532 0.1468 0.1540
0.2087 0.2087 0.5000
0.2913 0.2913 0.0000
0.7087 0.7087 0.0000
0.7913 0.7913 0.5000
0.1422 0.8578 0.1389
0.3578 0.6422 0.6389
0.6422 0.3578 0.3611
0.8578 0.1422 0.8611
```

Space-group type: Cmce, No. 64
Theoretical density: 8.6 g/cm3
D(E_F): 0.6 states/eV/f.u.
E_form (uncorrected): -0.475 eV/atom